Record 1
Entry from the Alexandria database: CoMoIr2 after structural relaxation (PBEsol).

Properties
The energy of formation is -0.147 eV/atom. As for the space group: I-4m2 (119). The value obtained for the excess energy over the best structure of this formula in the dataset is 48 meV/atom.

abc: 3.749 3.749 4.629
angles: 113.89 113.89 90.00
Atoms (fractional coordinates):
Co: 0.250 0.750 0.500
Ir: 0.750 0.250 0.500
Ir: 0.500 0.500 0.000
Mo: 0.000 0.000 0.000

Record 2
Entry from the Alexandria database: CeSnPt after structural relaxation (PBEsol).

Properties
The energy of formation is -0.957 eV/atom. As for the space group: Pnma (62).

abc: 4.574 7.235 7.973
angles: 90.00 90.00 90.00
Atoms (fractional coordinates):
Sn: 0.250 0.176 0.085
Sn: 0.750 0.824 0.915
Sn: 0.750 0.324 0.585
Sn: 0.250 0.676 0.415
Ce: 0.750 0.489 0.197
Ce: 0.750 0.989 0.303
Ce: 0.250 0.011 0.697
Ce: 0.250 0.511 0.803
Pt: 0.250 0.779 0.088
Pt: 0.750 0.221 0.912
Pt: 0.750 0.721 0.588
Pt: 0.250 0.279 0.412

Record 3
Entry from the Alexandria database: SrNiH2W after structural relaxation (PBEsol).

Properties
As for the space group: P4/mmm (123).

abc: 3.946 3.946 5.090
angles: 90.00 90.00 90.00
Atoms (fractional coordinates):
H: 0.000 0.500 0.000
H: 0.500 0.000 0.000
Sr: 0.000 0.000 0.500
W: 0.500 0.500 0.500
Ni: 0.000 0.000 0.000

Record 4
Entry from the Alexandria database: TlCd2 after structural relaxation (PBEsol).

Properties
The energy of formation is 0.059 eV/atom. As for the space group: Immm (71).

abc: 3.100 3.630 6.760
angles: 105.58 103.26 90.00
Atoms (fractional coordinates):
Tl: 0.000 0.000 0.000
Cd: 0.324 0.324 0.647
Cd: 0.676 0.676 0.353

Record 5
Entry from the Alexandria database: Sb2TeIBr after structural relaxation (PBEsol).

Properties
As for the space group: P4/mmm (123). Its formation energy (no corrections) is 628 meV/atom.

abc: 5.743 5.743 5.811
angles: 90.00 90.00 90.00
Atoms (fractional coordinates):
Br: 0.500 0.500 0.500
Sb: 0.500 0.000 0.000
Sb: 0.000 0.500 0.000
I: 0.000 0.000 0.500
Te: 0.000 0.000 0.000

Record 6
Entry from the Alexandria database: Mn2InRuN after structural relaxation (PBEsol).

Properties
As for the space group: P4/mmm (123). Its formation energy (no corrections) is 2816 meV/atom.

abc: 4.900 4.900 4.840
angles: 90.00 90.00 90.00
Atoms (fractional coordinates):
Mn: 0.500 0.000 0.000
Mn: 0.000 0.500 0.000
In: 0.000 0.000 0.000
Ru: 0.000 0.000 0.500
N: 0.500 0.500 0.500

Record 7
Entry from the Alexandria database: La2SiIr after structural relaxation (PBEsol).

Properties
As for the space group: Amm2 (38). Its formation energy (no corrections) is -742 meV/atom.

abc: 4.192 4.373 5.708
angles: 112.52 90.00 90.00
Atoms (fractional coordinates):
Ir: 0.500 0.682 0.363
La: 0.000 0.107 0.214
La: 0.500 0.393 0.787
Si: 0.000 0.808 0.616

Record 8
Entry from the Alexandria database: CaHg2 after structural relaxation (PBEsol).

Properties
The energy of formation is -0.505 eV/atom. As for the space group: Pnma (62).

abc: 5.203 6.313 8.833
angles: 90.00 90.00 90.00
Atoms (fractional coordinates):
Ca: 0.750 0.800 0.088
Ca: 0.250 0.700 0.588
Ca: 0.250 0.200 0.912
Ca: 0.750 0.300 0.412
Hg: 0.250 0.493 0.244
Hg: 0.750 0.507 0.756
Hg: 0.750 0.007 0.744
Hg: 0.250 0.697 0.930
Hg: 0.750 0.303 0.070
Hg: 0.250 0.993 0.256
Hg: 0.750 0.803 0.430
Hg: 0.250 0.197 0.570

Record 9
Entry from the Alexandria database: CaIr2Se after structural relaxation (PBEsol).

Properties
As for the space group: P4/mmm (123). The value obtained for the excess energy over the best structure of this formula in the dataset is 135 meV/atom. Its formation energy (no corrections) is 26 meV/atom.

abc: 3.995 3.995 4.154
angles: 90.00 90.00 90.00
Atoms (fractional coordinates):
Se: 0.500 0.500 0.500
Ir: 0.500 0.000 0.000
Ir: 0.000 0.500 0.000
Ca: 0.000 0.000 0.500

Record 10
Entry from the Alexandria database: RbCoCl3 after structural relaxation (PBEsol).

Properties
As for the space group: P6_3/mmc (194). Its formation energy (no corrections) is -1094 meV/atom.

abc: 6.881 6.881 11.181
angles: 90.00 90.00 120.00
Atoms (fractional coordinates):
Cl: 0.173 0.347 0.250
Cl: 0.500 0.500 0.000
Cl: 0.653 0.827 0.250
Cl: 0.500 0.500 0.500
Cl: 0.500 0.000 0.500
Cl: 0.827 0.173 0.750
Cl: 0.173 0.827 0.250
Cl: 0.827 0.653 0.750
Cl: 0.347 0.173 0.750
Cl: 0.000 0.500 0.500
Cl: 0.500 0.000 0.000
Cl: 0.000 0.500 0.000
Co: 0.667 0.333 0.627
Co: 0.333 0.667 0.373
Co: 0.333 0.667 0.127
Co: 0.667 0.333 0.873
Rb: 0.000 0.000 0.000
Rb: 0.000 0.000 0.500
Rb: 0.333 0.667 0.750
Rb: 0.667 0.333 0.250

Record 11
Entry from the Alexandria database: AgAu5 after structural relaxation (PBEsol).

Properties
The energy of formation is -0.021 eV/atom. As for the space group: P-62m (189). The value obtained for the excess energy over the best structure of this formula in the dataset is 7 meV/atom.

abc: 4.786 4.940 4.940
angles: 120.00 90.00 90.00
Atoms (fractional coordinates):
Ag: 0.500 0.000 0.000
Au: 0.000 0.667 0.000
Au: 0.500 0.667 0.333
Au: 0.000 0.333 0.333
Au: 0.500 0.333 0.667
Au: 0.000 0.000 0.667

Record 12
Entry from the Alexandria database: SrCuMo2 after structural relaxation (PBEsol).

Properties
The energy of formation is 1.047 eV/atom. As for the space group: Cmmm (65). The value obtained for the excess energy over the best structure of this formula in the dataset is 25 meV/atom.

abc: 2.624 5.395 5.679
angles: 118.36 90.00 90.00
Atoms (fractional coordinates):
Cu: 0.500 0.500 0.000
Sr: 0.500 0.000 0.000
Mo: 0.000 0.500 0.500
Mo: 0.000 0.000 0.500

Record 13
Entry from the Alexandria database: Tl3GeMo after structural relaxation (PBEsol).

Properties
The energy of formation is 1.304 eV/atom. As for the space group: Pm-3m (221).

abc: 5.299 5.299 5.299
angles: 90.00 90.00 90.00
Atoms (fractional coordinates):
Tl: 0.500 0.000 0.000
Tl: 0.000 0.000 0.500
Tl: 0.000 0.500 0.000
Mo: 0.500 0.500 0.500
Ge: 0.000 0.000 0.000

Record 14
Entry from the Alexandria database: NaGaBiOs2 after structural relaxation (PBEsol).

Properties
The energy of formation is 2.111 eV/atom. As for the space group: P4/mmm (123).

abc: 4.994 4.994 5.341
angles: 90.00 90.00 90.00
Atoms (fractional coordinates):
Ga: 0.500 0.500 0.500
Os: 0.500 0.000 0.000
Os: 0.000 0.500 0.000
Bi: 0.000 0.000 0.000
Na: 0.000 0.000 0.500

Record 15
Entry from the Alexandria database: YCrCo2 after structural relaxation (PBEsol).

Properties
The energy of formation is 0.448 eV/atom. As for the space group: I-4m2 (119). The value obtained for the excess energy over the best structure of this formula in the dataset is 285 meV/atom.

abc: 3.764 3.764 4.877
angles: 112.70 112.70 90.00
Atoms (fractional coordinates):
Co: 0.750 0.250 0.500
Co: 0.000 0.000 0.000
Y: 0.250 0.750 0.500
Cr: 0.500 0.500 0.000

Record 16
Entry from the Alexandria database: TaMoS4 after structural relaxation (PBEsol).

Properties
As for the space group: Cm (8). Its formation energy (no corrections) is -1028 meV/atom.

abc: 3.226 5.597 6.287
angles: 98.61 104.87 90.00
Atoms (fractional coordinates):
S: 0.620 0.211 0.241
S: 0.880 0.298 0.760
S: 0.122 0.703 0.244
S: 0.378 0.788 0.756
Mo: 0.750 0.582 0.500
Ta: 0.250 0.085 0.500

Record 17
Entry from the Alexandria database: LiAsPb after structural relaxation (PBEsol).

Properties
The energy of formation is -0.253 eV/atom. As for the space group: P3m1 (156).

abc: 4.669 4.185 4.185
angles: 120.00 90.00 90.00
Atoms (fractional coordinates):
As: 0.726 0.000 0.000
Pb: 0.386 0.667 0.333
Li: 0.888 0.333 0.667

Record 18
Entry from the Alexandria database: Cd3CuSe after structural relaxation (PBEsol).

Properties
As for the space group: Pm-3m (221). Its formation energy (no corrections) is 755 meV/atom.

abc: 5.230 5.230 5.230
angles: 90.00 90.00 90.00
Atoms (fractional coordinates):
Cd: 0.500 0.000 0.000
Cd: 0.000 0.000 0.500
Cd: 0.000 0.500 0.000
Cu: 0.500 0.500 0.500
Se: 0.000 0.000 0.000

Record 19
Entry from the Alexandria database: Ru2PtBr after structural relaxation (PBEsol).

Properties
As for the space group: Pmmm (47). The value obtained for the excess energy over the best structure of this formula in the dataset is 77 meV/atom. Its formation energy (no corrections) is 548 meV/atom.

abc: 2.844 3.674 6.138
angles: 90.00 90.00 90.00
Atoms (fractional coordinates):
Pt: 0.000 0.500 0.000
Ru: 0.500 0.000 0.791
Ru: 0.500 0.000 0.209
Br: 0.500 0.500 0.500

Record 20
Entry from the Alexandria database: TaGaSeN2 after structural relaxation (PBEsol).

Properties
As for the space group: P4/mmm (123). Its formation energy (no corrections) is 33 meV/atom.

abc: 3.968 3.968 5.345
angles: 90.00 90.00 90.00
Atoms (fractional coordinates):
N: 0.000 0.500 0.000
N: 0.500 0.000 0.000
Ta: 0.000 0.000 0.000
Ga: 0.500 0.500 0.500
Se: 0.000 0.000 0.500

Energy? In order: -9.94; -6.90; -3.79; -1.62; -2.63; -5.43; -7.31; -1.59; -6.38; -4.05; -3.84; -6.38; -3.62; -4.58; -7.69; -8.00; -3.94; -1.60; -6.75; -7.33 eV/atom.